## ErScPa2S4 (PBE)

Data for a geometry-optimized ErScPa2S4 structure.

DOS(E_F) (states/eV per atom): 0.859
Final energy (eV/cell): -60.26
Energy relative to the elements, uncorrected (meV/atom): -1734
Magnetization (μB/f.u.): 0.00

Unit cell a=6.4126 b=3.7072 c=7.0373 alpha=90.00 beta=107.70 gamma=90.00
Closest atoms and distances in Å follow each position.
Space group P2/m (No. 10)
Symmetry-distinct sites (fractional):
Er1 0.0000 0.0000 0.0000 [1 per cell]  6 S 2.67
Sc1 0.5000 0.5000 0.0000 [1 per cell]  6 S 2.62-2.63
Pa1 0.0000 0.5000 0.5000 [1 per cell]  6 S 2.81
Pa2 0.5000 0.0000 0.5000 [1 per cell]  6 S 2.77
S1 0.2511 0.5000 0.2348 [2 per cell]  1 Sc 2.62, 2 Er 2.67, 3 Pa 2.77-2.81
S2 0.2626 0.0000 0.7689 [2 per cell]  2 Sc 2.63, 1 Er 2.67, 3 Pa 2.77-2.81